a) # PBE Tm2HfIn, optimized geometry
data_Tm2HfIn
_space_group_name_H-M_alt 'P 1'
_space_group_IT_number 1
_cell_length_a 4.6405
_cell_length_b 4.6389
_cell_length_c 4.6389
_cell_angle_alpha 90.00
_cell_angle_beta 90.00
_cell_angle_gamma 90.00
loop_
_space_group_symop_operation_xyz
'x,y,z'
loop_
_atom_site_label
_atom_site_fract_x
_atom_site_fract_y
_atom_site_fract_z
Hf1 0.5000 0.0000 0.0000
Tm1 0.0000 0.0000 0.5000
Tm2 0.0000 0.5000 0.0000
In1 0.5000 0.5000 0.5000
# calculated density = 10.495 g/cm3
# total magnetization = 0.0 μB per cell
# SG = P4/mmm


b) # PBE Tm2HfIn, optimized geometry
data_Tm2HfIn
_space_group_name_H-M_alt 'P 1'
_space_group_IT_number 1
_cell_length_a 3.4001
_cell_length_b 3.4001
_cell_length_c 8.9139
_cell_angle_alpha 90.00
_cell_angle_beta 90.00
_cell_angle_gamma 90.00
loop_
_space_group_symop_operation_xyz
'x,y,z'
loop_
_atom_site_label
_atom_site_fract_x
_atom_site_fract_y
_atom_site_fract_z
Tm1 0.0000 0.0000 0.7520
Tm2 0.0000 0.0000 0.2480
In1 0.5000 0.5000 0.0000
Hf1 0.5000 0.5000 0.5000
# calculated density = 10.171 g/cm3
# total magnetization = 0.0 μB per cell
# SG = P4/mmm


How do the energies compare? Relative to the most stable structure, in meV per atom: a) 38; b) 0.


a) # PBE TmHf2In, optimized geometry
data_TmHf2In
_space_group_name_H-M_alt 'P 1'
_space_group_IT_number 1
_cell_length_a 3.1340
_cell_length_b 3.1340
_cell_length_c 11.6740
_cell_angle_alpha 82.29
_cell_angle_beta 82.29
_cell_angle_gamma 60.00
loop_
_space_group_symop_operation_xyz
'x,y,z'
loop_
_atom_site_label
_atom_site_fract_x
_atom_site_fract_y
_atom_site_fract_z
Tm1 0.0000 0.0000 0.0000
In1 0.5000 0.5000 0.5000
Hf1 0.9085 0.9085 0.2745
Hf2 0.0915 0.0915 0.7255
# calculated density = 10.845 g/cm3
# total magnetization = 0.0 μB per cell
# SG = R-3m


b) # PBE TmHf2In, optimized geometry
data_TmHf2In
_space_group_name_H-M_alt 'P 1'
_space_group_IT_number 1
_cell_length_a 4.2931
_cell_length_b 4.4669
_cell_length_c 10.7390
_cell_angle_alpha 90.00
_cell_angle_beta 101.52
_cell_angle_gamma 90.00
loop_
_space_group_symop_operation_xyz
'x,y,z'
loop_
_atom_site_label
_atom_site_fract_x
_atom_site_fract_y
_atom_site_fract_z
Hf1 0.0507 0.7500 0.1016
Hf2 0.5508 0.2500 0.1017
Hf3 0.4492 0.7500 0.8983
Hf4 0.9493 0.2500 0.8984
Tm1 0.6907 0.7500 0.3811
Tm2 0.3093 0.2500 0.6189
In1 0.8405 0.7500 0.6809
In2 0.1595 0.2500 0.3191
# calculated density = 10.545 g/cm3
# total magnetization = 0.0 μB per cell
# SG = Cmcm


c) # PBE TmHf2In, optimized geometry
data_TmHf2In
_space_group_name_H-M_alt 'P 1'
_space_group_IT_number 1
_cell_length_a 4.5551
_cell_length_b 4.5101
_cell_length_c 4.5101
_cell_angle_alpha 90.00
_cell_angle_beta 90.00
_cell_angle_gamma 90.00
loop_
_space_group_symop_operation_xyz
'x,y,z'
loop_
_atom_site_label
_atom_site_fract_x
_atom_site_fract_y
_atom_site_fract_z
In1 0.5000 0.0000 0.0000
Hf1 0.0000 0.0000 0.5000
Hf2 0.0000 0.5000 0.0000
Tm1 0.5000 0.5000 0.5000
# calculated density = 11.483 g/cm3
# total magnetization = 0.0 μB per cell
# SG = P4/mmm


How do the energies compare? Relative to the most stable structure, in meV per atom: a) 474; b) 0; c) 88.